Entry 1:
Compound: Mn2RePdPt
Source: Alexandria via LeMat-Bulk
Functional: GGA-PBE
Structure: relaxed

Output
SG   P4/mmm, No. 123
ΔH_f (0 K)   1194.8 meV per atom

Cell lengths 4.523, 4.838, 4.523 Å; angles 90.00, 90.00, 90.00 degrees
Each line ends with the local moment (μB).
Fractional coordinates of all 5 atoms:
1 Pt 0.000 0.500 0.000  -0.07
2 Pd 0.500 0.500 0.500  0.04
3 Mn 0.500 0.000 0.000  3.06
4 Mn 0.000 0.000 0.500  2.70
5 Re 0.000 0.000 0.000  -0.55

Entry 2:
Compound: ScMnPdPt
Source: Alexandria via LeMat-Bulk
Functional: GGA-PBE
Structure: relaxed

Output
SG   Pmmm, No. 47
ΔH_f (0 K)   -730.8 meV per atom

Cell lengths 3.742, 4.151, 4.138 Å; angles 90.00, 90.00, 90.00 degrees
Each line ends with the local moment (μB).
Fractional coordinates of all 4 atoms:
1 Pd 0.000 0.000 0.000  0.09
2 Sc 0.500 0.000 0.500  -0.12
3 Mn 0.500 0.500 0.000  3.63
4 Pt 0.000 0.500 0.500  0.10

Entry 3:
Compound: Sc2MnPdPt5
Source: Alexandria via LeMat-Bulk
Functional: GGA-PBE
Structure: relaxed

Output
SG   I4/mcm, No. 140
ΔH_f (0 K)   -283.0 meV per atom

Cell lengths 7.776, 7.776, 7.686 Å; angles 120.39, 120.39, 90.00 degrees
Each line ends with the local moment (μB).
Fractional coordinates of all 18 atoms:
1 Sc 0.381 0.881 0.000  -0.02
2 Sc 0.619 0.119 0.000  -0.02
3 Sc 0.881 0.619 0.000  -0.02
4 Sc 0.119 0.381 0.000  -0.02
5 Pt 0.335 0.835 0.265  -0.01
6 Pt 0.430 0.335 0.265  -0.01
7 Pt 0.070 0.570 0.735  -0.01
8 Pt 0.665 0.165 0.735  -0.01
9 Pt 0.930 0.430 0.265  -0.01
10 Pt 0.835 0.930 0.265  -0.01
11 Pt 0.500 0.500 0.000  0.05
12 Pt 0.165 0.070 0.735  -0.01
13 Pt 0.570 0.665 0.735  -0.01
14 Pt 0.000 0.000 0.000  0.05
15 Mn 0.750 0.750 0.500  4.14
16 Mn 0.250 0.250 0.500  4.14
17 Pd 0.250 0.750 0.500  0.00
18 Pd 0.750 0.250 0.500  0.00

Entry 4:
Compound: Mn2PdPtSe
Source: Alexandria via LeMat-Bulk
Functional: GGA-PBE
Structure: relaxed

Output
SG   P4/mmm, No. 123
Formation energy from raw total energies   700 meV per atom

Cell lengths 4.895, 4.784, 4.895 Å; angles 90.00, 90.00, 90.00 degrees
Each line ends with the local moment (μB).
Fractional coordinates of all 5 atoms:
1 Pd 0.500 0.500 0.500  0.11
2 Mn 0.500 0.000 0.000  4.16
3 Mn 0.000 0.000 0.500  4.15
4 Pt 0.000 0.000 0.000  0.18
5 Se 0.000 0.500 0.000  -0.01

Entry 5:
Compound: SmMnPdPt
Source: Alexandria via LeMat-Bulk
Functional: GGA-PBE
Structure: relaxed

Output
SG   F-43m, No. 216
ΔH_f (0 K)   -551.8 meV per atom

Cell lengths 4.776, 4.776, 4.776 Å; angles 60.00, 60.00, 60.00 degrees
Each line ends with the local moment (μB).
Fractional coordinates of all 4 atoms:
1 Pd 0.250 0.250 0.250  0.11
2 Sm 0.000 0.000 0.000  0.01
3 Mn 0.500 0.500 0.500  4.10
4 Pt 0.750 0.750 0.750  0.14

Entry 6:
Compound: TbMnPdPt
Source: Alexandria via LeMat-Bulk
Functional: GGA-PBE
Structure: relaxed

Output
SG   F-43m, No. 216
ΔH_f (0 K)   -633.3 meV per atom

Cell lengths 4.721, 4.721, 4.721 Å; angles 60.00, 60.00, 60.00 degrees
Each line ends with the local moment (μB).
Fractional coordinates of all 4 atoms:
1 Pd 0.500 0.500 0.500  0.11
2 Tb 0.250 0.250 0.250  0.01
3 Pt 0.000 0.000 0.000  0.15
4 Mn 0.750 0.750 0.750  4.05

Number 1: DOS at the Fermi energy 5.590 states/eV/f.u., total magnetic moment 5.405 μB/f.u., total energy -7.209 eV/atom. Number 2: DOS at the Fermi energy 2.456 states/eV/f.u., total magnetic moment 3.809 μB/f.u., total energy -7.415 eV/atom. Number 3: DOS at the Fermi energy 4.760 states/eV/f.u., total magnetic moment 4.339 μB/f.u., total energy -6.642 eV/atom. Number 4: DOS at the Fermi energy 3.951 states/eV/f.u., total magnetic moment 9.111 μB/f.u., total energy -5.911 eV/atom. Number 5: DOS at the Fermi energy 2.865 states/eV/f.u., total magnetic moment 4.636 μB/f.u., total energy -6.832 eV/atom. Number 6: DOS at the Fermi energy 2.481 states/eV/f.u., total magnetic moment 4.554 μB/f.u., total energy -6.892 eV/atom.